1.
! Ac2GePt2 PBE relaxed; values from VASP
&SYSTEM
  ibrav = 0, nat = 20, ntyp = 3
/
ATOMIC_SPECIES
Ge 72.64 Ge.upf
Pt 195.08 Pt.upf
Ac 227.00 Ac.upf
ATOMIC_POSITIONS angstrom
Ge -2.9695 -2.5585 4.5373
Ge -1.5824 1.1848 0.5630
Ge -4.7451 3.5530 1.6883
Ge -6.1342 -0.1889 5.6634
Pt -4.6276 2.3392 4.5753
Pt -1.6522 -2.1343 7.3492
Pt -4.8160 0.2346 8.4748
Pt -1.4638 -0.0297 3.4496
Pt -4.4761 -5.0866 5.6254
Pt -7.6399 -2.7177 6.7510
Pt -4.2878 -2.9820 1.7258
Pt -7.4515 -0.6131 2.8515
Ac -1.1718 -2.2574 1.4569
Ac 0.4705 -1.8627 5.2421
Ac -2.6937 0.5059 6.3674
Ac -4.7680 -2.8585 7.6177
Ac -1.6043 -5.2278 6.4925
Ac -3.2466 -5.6225 2.7072
Ac -6.4101 -3.2533 3.8332
Ac -4.3358 0.1111 2.5830
CELL_PARAMETERS angstrom
-4.7049 -6.4237 0.2947
1.9287 -1.0615 7.6546
-6.3275 4.7378 2.2513
! Crystal system ... tetragonal
! V ... 26.08 Å³/atom
! Distance to the lowest polymorph of the same formula ... 81 meV/atom
! ΔH_f (0 K) ... -939 meV per atom
! Total magnetic moment ... 0.0 μB/f.u.

***

2.
! NdU2MnC4 PBE relaxed; values from VASP
&SYSTEM
  ibrav = 0, nat = 16, ntyp = 4
/
ATOMIC_SPECIES
C 12.01 C.upf
Mn 54.94 Mn.upf
U 238.03 U.upf
Nd 144.24 Nd.upf
ATOMIC_POSITIONS angstrom
C 3.5703 4.1812 8.2714
C 1.8721 1.8169 4.5877
C 0.8676 -0.5556 3.0588
C -0.5524 2.1167 2.7800
C 2.1503 6.8535 7.9927
C 1.1459 4.4811 6.4638
C 0.0000 0.0000 0.0000
C 1.9513 4.6087 2.9699
Mn 1.2206 1.2642 2.9381
Mn 1.7973 5.0337 8.1134
U 4.2807 6.3429 9.0298
U 0.3045 3.6567 4.4070
U -1.2628 -0.0450 2.0217
U 2.7135 2.6413 6.6444
Nd 3.0894 6.2230 5.4190
Nd -0.0715 0.0750 5.6325
CELL_PARAMETERS angstrom
-3.3124 0.7135 1.0691
2.4278 -3.6329 4.0424
3.9026 9.2174 5.9399
! Crystal system ... orthorhombic
! V ... 14.68 Å³/atom
! ΔH_f (0 K) ... -90 meV per atom
! Total magnetic moment ... 0.0 μB/f.u.

***

3.
! CeSm3Bi2 PBE relaxed; values from VASP
&SYSTEM
  ibrav = 0, nat = 12, ntyp = 3
/
ATOMIC_SPECIES
Sm 150.36 Sm.upf
Ce 140.12 Ce.upf
Bi 208.98 Bi.upf
ATOMIC_POSITIONS angstrom
Sm 0.0000 6.5430 1.0734
Sm 2.2096 6.3967 4.1835
Sm 2.2096 -1.3644 6.9037
Sm 0.0000 -1.2181 3.7935
Sm 0.0000 3.8285 4.0091
Sm 2.2096 1.3501 3.9679
Ce 0.0000 1.7475 0.7625
Ce 2.2096 3.4312 7.2145
Bi 0.0000 1.0490 6.4325
Bi 2.2096 4.1296 1.5445
Bi 2.2096 -0.7698 1.5260
Bi 0.0000 5.9484 6.4510
CELL_PARAMETERS angstrom
4.4192 0.0000 0.0000
-2.2096 10.5921 -0.7570
0.0000 -5.4135 8.7340
! Crystal system ... monoclinic
! V ... 32.56 Å³/atom
! ΔH_f (0 K) ... -489 meV per atom
! Total magnetic moment ... 1.8 μB/f.u.

***

4.
! Er2Cd3Ag2 PBE relaxed; values from VASP
&SYSTEM
  ibrav = 0, nat = 7, ntyp = 3
/
ATOMIC_SPECIES
Cd 112.41 Cd.upf
Ag 107.87 Ag.upf
Er 167.26 Er.upf
ATOMIC_POSITIONS angstrom
Cd 0.0000 0.0000 0.0000
Cd 7.4667 0.6058 4.9379
Cd 1.8033 -2.5450 0.8562
Ag 4.3578 -2.0237 2.0241
Ag 4.9121 0.0844 3.7701
Er 2.9775 0.6076 1.3612
Er 7.1073 -0.5445 1.7566
CELL_PARAMETERS angstrom
-0.8149 -2.0023 2.6763
1.7423 -3.6344 -2.1887
8.3425 3.6975 5.3065
! Crystal system ... orthorhombic
! V ... 23.23 Å³/atom
! Distance to the lowest polymorph of the same formula ... 46 meV/atom
! ΔH_f (0 K) ... -212 meV per atom
! Total magnetic moment ... 0.0 μB/f.u.

***

5.
! LiMg4Cd2Ag PBE relaxed; values from VASP
&SYSTEM
  ibrav = 0, nat = 8, ntyp = 4
/
ATOMIC_SPECIES
Ag 107.87 Ag.upf
Mg 24.30 Mg.upf
Li 6.94 Li.upf
Cd 112.41 Cd.upf
ATOMIC_POSITIONS angstrom
Ag 3.5785 -5.7527 -0.9403
Mg 6.4285 -6.0320 -0.5313
Mg 0.7285 -5.4735 -1.3492
Mg 2.4995 -8.3480 -1.8220
Mg 4.6575 -3.1574 -0.0586
Li 0.0000 0.0000 0.0000
Cd 1.6981 -2.8674 -0.4832
Cd 5.4589 -8.6380 -1.3973
CELL_PARAMETERS angstrom
-0.6250 -4.6488 1.1808
0.1579 -3.4085 -3.4284
7.6241 -3.4482 0.3671
! Crystal system ... trigonal
! V ... 20.00 Å³/atom
! ΔH_f (0 K) ... -154 meV per atom
! Total magnetic moment ... 0.0 μB/f.u.

***

6.
! Li2TbThHg4 PBE relaxed; values from VASP
&SYSTEM
  ibrav = 0, nat = 8, ntyp = 4
/
ATOMIC_SPECIES
Hg 200.59 Hg.upf
Li 6.94 Li.upf
Th 232.04 Th.upf
Tb 158.93 Tb.upf
ATOMIC_POSITIONS angstrom
Hg 5.0899 2.9387 7.2319
Hg 2.5450 1.4693 5.1707
Hg 5.0899 2.9387 1.1285
Hg 7.6349 4.4080 3.1897
Li 2.5450 1.4693 2.1244
Li 7.6349 4.4080 6.2360
Th 0.0000 0.0000 0.0000
Tb 5.0899 2.9387 4.1802
CELL_PARAMETERS angstrom
5.0899 0.0000 0.0000
2.5450 4.4080 0.0000
2.5450 1.4693 8.3605
! Crystal system ... trigonal
! V ... 23.45 Å³/atom
! ΔH_f (0 K) ... -368 meV per atom
! Total magnetic moment ... 0.0 μB/f.u.

***

7.
! NiAsCSe2 PBE relaxed; values from VASP
&SYSTEM
  ibrav = 0, nat = 5, ntyp = 4
/
ATOMIC_SPECIES
Se 78.96 Se.upf
C 12.01 C.upf
As 74.92 As.upf
Ni 58.69 Ni.upf
ATOMIC_POSITIONS angstrom
Se -1.3305 1.6217 -1.1212
Se -1.5132 0.0272 1.8349
C -1.6785 3.2527 1.6508
As 1.1652 1.6038 0.9371
Ni 0.0000 0.0000 0.0000
CELL_PARAMETERS angstrom
-2.6609 3.2435 -2.2425
-3.0264 0.0543 3.6698
2.3303 3.2076 1.8743
! Crystal system ... tetragonal
! V ... 19.85 Å³/atom
! Raw formation energy ... 1.630 eV per atom
! Distance to the lowest polymorph of the same formula ... 384 meV/atom
! Total magnetic moment ... 0.5 μB/f.u.

***

8.
! Ta3CuAu PBE relaxed; values from VASP
&SYSTEM
  ibrav = 0, nat = 5, ntyp = 3
/
ATOMIC_SPECIES
Ta 180.95 Ta.upf
Cu 63.55 Cu.upf
Au 196.97 Au.upf
ATOMIC_POSITIONS angstrom
Ta 1.6844 -0.1843 1.5690
Ta 0.7477 -1.9275 -1.0290
Ta -1.3917 -1.2586 1.3462
Cu 0.0000 0.0000 0.0000
Au 1.0404 -3.3703 1.8863
CELL_PARAMETERS angstrom
-2.7834 -2.5172 2.6925
1.4954 -3.8550 -2.0581
3.3689 -0.3685 3.1381
! Crystal system ... cubic
! V ... 19.71 Å³/atom
! Distance to the lowest polymorph of the same formula ... 0 meV/atom
! ΔH_f (0 K) ... 1132 meV per atom
! Total magnetic moment ... 1.1 μB/f.u.

***

9.
! Dy2PdPt3 PBE relaxed; values from VASP
&SYSTEM
  ibrav = 0, nat = 12, ntyp = 3
/
ATOMIC_SPECIES
Dy 162.50 Dy.upf
Pt 195.08 Pt.upf
Pd 106.42 Pd.upf
ATOMIC_POSITIONS angstrom
Dy 5.1574 0.5658 -0.0980
Dy 3.6150 -1.8986 -2.8566
Dy -0.2841 -5.2163 -2.0325
Dy 1.2582 -2.7519 0.7262
Pt 2.3290 -4.1760 -1.7951
Pt 2.5443 -0.4746 -0.3354
Pt 5.7521 0.3293 -2.8471
Pt 3.9575 -1.9001 -5.8525
Pt 0.7497 -2.7040 -3.3408
Pt -0.8788 -4.9799 0.7166
Pd 3.2078 0.8039 -2.5117
Pd 0.0000 0.0000 0.0000
CELL_PARAMETERS angstrom
-1.7083 -6.2119 -4.1700
6.4156 1.6078 -5.0234
0.1660 -0.0465 7.0629
! Crystal system ... orthorhombic
! V ... 22.50 Å³/atom
! ΔH_f (0 K) ... -749 meV per atom
! Total magnetic moment ... 0.0 μB/f.u.

***

10.
! KCoTe3 PBE relaxed; values from VASP
&SYSTEM
  ibrav = 0, nat = 5, ntyp = 3
/
ATOMIC_SPECIES
Te 127.60 Te.upf
Co 58.93 Co.upf
K 39.10 K.upf
ATOMIC_POSITIONS angstrom
Te 2.6195 0.0000 0.0000
Te 0.0000 0.0000 2.6195
Te 0.0000 2.6195 0.0000
Co 0.0000 0.0000 0.0000
K 2.6195 2.6195 2.6195
CELL_PARAMETERS angstrom
5.2389 0.0000 0.0000
0.0000 5.2389 0.0000
0.0000 0.0000 5.2389
! Crystal system ... cubic
! V ... 28.76 Å³/atom
! Raw formation energy ... -0.085 eV per atom
! Distance to the lowest polymorph of the same formula ... 0 meV/atom
! Total magnetic moment ... 1.4 μB/f.u.

***

11.
! ZrSc2Co PBE relaxed; values from VASP
&SYSTEM
  ibrav = 0, nat = 4, ntyp = 3
/
ATOMIC_SPECIES
Zr 91.22 Zr.upf
Sc 44.96 Sc.upf
Co 58.93 Co.upf
ATOMIC_POSITIONS angstrom
Zr 2.1512 1.2454 1.3915
Sc 0.0000 2.8200 2.9274
Sc 0.0000 4.6527 5.4213
Co 2.1512 3.7363 4.1744
CELL_PARAMETERS angstrom
4.3023 0.0000 0.0000
0.0000 3.2462 -0.0026
0.0000 1.7356 5.5684
! Crystal system ... monoclinic
! V ... 19.45 Å³/atom
! Distance to the lowest polymorph of the same formula ... 231 meV/atom
! ΔH_f (0 K) ... 17 meV per atom
! Total magnetic moment ... 0.2 μB/f.u.

***

12.
! Pm6GaPb2 PBE relaxed; values from VASP
&SYSTEM
  ibrav = 0, nat = 9, ntyp = 3
/
ATOMIC_SPECIES
Pm 145.00 Pm.upf
Ga 69.72 Ga.upf
Pb 207.20 Pb.upf
ATOMIC_POSITIONS angstrom
Pm 0.0000 2.1075 0.0000
Pm 2.2238 1.7342 3.0039
Pm 0.0000 3.2217 5.5810
Pm 0.0000 7.4972 1.8246
Pm 2.2238 5.0822 0.0000
Pm 2.2238 6.0097 4.4017
Ga 2.2238 0.0005 0.0000
Pb 0.0000 0.0000 4.9368
Pb 0.0000 4.2754 2.4688
CELL_PARAMETERS angstrom
4.4476 0.0000 0.0000
0.0000 8.5509 0.0000
0.0000 -4.2755 7.4056
! Crystal system ... hexagonal
! V ... 31.29 Å³/atom
! ΔH_f (0 K) ... -435 meV per atom
! Total magnetic moment ... 5.0 μB/f.u.